Entry from the Alexandria database: an optimized crystal structure of RbNiF4 (PBE with a Hubbard U).

Summary:
total magnetization = 4.39 Bohr magnetons per cell
DFT total energy = -94.9 eV per cell

CIF file:
```
data_RbNiF4
_symmetry_space_group_name_H-M 'C 1 2/c 1'
_symmetry_Int_Tables_number 15
_cell_length_a 7.982
_cell_length_b 11.123
_cell_length_c 5.264
_cell_angle_alpha 90.00
_cell_angle_beta 120.29
_cell_angle_gamma 90.00
loop_
_symmetry_equiv_pos_as_xyz
'x,y,z'
'-x,-y,-z'
'-x,y,-z+1/2'
'x,-y,z+1/2'
'x+1/2,y+1/2,z'
'-x+1/2,-y+1/2,-z'
'-x+1/2,y+1/2,-z+1/2'
'x+1/2,-y+1/2,z+1/2'
loop_
_atom_site_label
_atom_site_type_symbol
_atom_site_fract_x
_atom_site_fract_y
_atom_site_fract_z
_atom_site_occupancy
Rb1 Rb 0.000 0.160 0.250 1
Ni1 Ni 0.000 0.433 0.750 1
F1 F 0.152 0.319 0.731 1
F2 F 0.154 0.450 0.210 1
```

=====

Entry from the Alexandria database: an optimized crystal structure of RbNiF (PBE with a Hubbard U).

Summary:
total magnetization = 4.12 Bohr magnetons per cell
DFT total energy = -35.3 eV per cell

CIF file:
```
data_RbNiF
_symmetry_space_group_name_H-M 'C m c m'
_symmetry_Int_Tables_number 63
_symmetry_space_group_name_Hall '-C 2c 2'
_cell_length_a 4.098
_cell_length_b 16.381
_cell_length_c 4.038
_cell_angle_alpha 90.00
_cell_angle_beta 90.00
_cell_angle_gamma 90.00
loop_
_atom_site_label
_atom_site_type_symbol
_atom_site_fract_x
_atom_site_fract_y
_atom_site_fract_z
_atom_site_occupancy
Rb1 Rb 0.000 0.158 0.250 1
Ni1 Ni 0.000 0.460 0.250 1
F1 F 0.000 0.332 0.250 1
```

=====

Entry from the Alexandria database: an optimized crystal structure of RbNiF (PBE with a Hubbard U).

Summary:
total magnetization = 1.99 Bohr magnetons per cell
DFT total energy = -17.7 eV per cell

CIF file:
```
data_RbNiF
_symmetry_space_group_name_H-M 'P 1'
_symmetry_Int_Tables_number 1
_cell_length_a 3.456
_cell_length_b 3.457
_cell_length_c 10.548
_cell_angle_alpha 99.43
_cell_angle_beta 99.36
_cell_angle_gamma 90.01
loop_
_symmetry_equiv_pos_as_xyz
'x,y,z'
loop_
_atom_site_label
_atom_site_type_symbol
_atom_site_fract_x
_atom_site_fract_y
_atom_site_fract_z
_atom_site_occupancy
Rb1 Rb 0.000 0.000 0.000 1
Rb2 Rb 0.170 0.168 0.339 1
Ni1 Ni 0.361 0.359 0.723 1
Ni2 Ni 0.823 0.822 0.647 1
F1 F 0.563 0.563 0.126 1
F2 F 0.727 0.725 0.453 1
```

=====

Entry from the Alexandria database: an optimized crystal structure of RbNiF (PBE with a Hubbard U).

Summary:
total magnetization = 2.05 Bohr magnetons per cell
DFT total energy = -17.4 eV per cell

CIF file:
```
data_RbNiF
_symmetry_space_group_name_H-M 'P 1'
_symmetry_Int_Tables_number 1
_cell_length_a 3.765
_cell_length_b 5.931
_cell_length_c 7.254
_cell_angle_alpha 66.02
_cell_angle_beta 74.97
_cell_angle_gamma 89.98
loop_
_symmetry_equiv_pos_as_xyz
'x,y,z'
loop_
_atom_site_label
_atom_site_type_symbol
_atom_site_fract_x
_atom_site_fract_y
_atom_site_fract_z
_atom_site_occupancy
Rb1 Rb 0.000 0.000 0.000 1
Rb2 Rb 0.180 0.680 0.639 1
Ni1 Ni 0.401 0.401 0.200 1
Ni2 Ni 0.783 0.283 0.438 1
F1 F 0.539 0.706 0.923 1
F2 F 0.643 0.309 0.716 1
```